The following is a PBE calculation of a relaxed Ac3H5O12 crystal, from Alexandria.

The space group is Ia-3d (No. 230) and the conventional cell measures 12.083, 12.083 and 12.083 Å, with angles of 90.00, 90.00 and 90.00 degrees. Symmetry generates all atoms from Ac at (0.000, 0.250, 0.125), H at (0.000, 0.000, 0.000), H at (0.000, 0.250, 0.375) and O at (0.036, 0.149, 0.955).

As for the volume: 11.025 Å³ per atom. Its total energy is -4.878 eV per atom.